{"formula": "TbMnRe", "functional": "PBE-GGA", "state": "optimized geometry", "lattice_angstrom": [[5.0474, 0.0241, 0.0000], [-2.3961, 4.4425, 0.0000], [-1.3257, -2.2333, 4.5471]], "species": ["Tb", "Tb", "Re", "Re", "Mn", "Mn"], "frac_coords": [[0.6630, 0.3370, 0.0000], [0.3370, 0.6630, 0.0000], [0.8466, 0.8466, 0.6932], [0.1534, 0.1534, 0.3068], [0.7500, 0.2500, 0.5000], [0.2500, 0.7500, 0.5000]], "e_tot_ev_per_cell": -50.886, "mass_density_g_cm3": 13.00, "spacegroup": "Fmmm, No. 69", "formation_energy_ev_per_atom": 0.268}